Arrangement w

The following is a SCAN calculation of Al7Ag5 at its PBEsol-relaxed geometry, from Alexandria via LeMat-Bulk.

Cell: 5.460 5.566 7.643 Å, 83.67 70.52 63.60°
Fractional positions:
Al  0.000  0.000  0.000
Al  0.000  0.500  0.000
Al  0.008  0.166  0.331
Al  0.495  0.333  0.668
Al  0.500  0.500  0.000
Al  0.505  0.667  0.332
Al  0.992  0.834  0.669
Ag  0.006  0.665  0.332
Ag  0.491  0.832  0.665
Ag  0.500  0.000  0.000
Ag  0.509  0.168  0.335
Ag  0.994  0.335  0.668

Results
total magnetic moment = 0.00 μB per cell
symmetry = P-1 (2)
volume = 195.9 Å³/cell

***

Arrangement x

The following is a SCAN calculation of Al7Ag5 at its PBEsol-relaxed geometry, from Alexandria via LeMat-Bulk.

Cell: 5.715 3.919 9.119 Å, 90.00 108.22 90.00°
Fractional positions:
Al  0.000  0.000  0.000
Al  0.010  0.500  0.488
Al  0.176  0.500  0.827
Al  0.341  0.000  0.665
Al  0.353  0.500  0.168
Al  0.514  0.500  0.498
Al  0.852  0.000  0.662
Ag  0.188  0.000  0.340
Ag  0.488  0.000  0.993
Ag  0.679  0.000  0.337
Ag  0.681  0.500  0.818
Ag  0.851  0.500  0.158

Results
total magnetic moment = 0.00 μB per cell
symmetry = Pm (6)
volume = 194.0 Å³/cell

***

Arrangement y

The following is a SCAN calculation of Al7Ag5 at its PBEsol-relaxed geometry, from Alexandria via LeMat-Bulk.

Cell: 4.872 4.872 8.784 Å, 90.00 90.00 110.88°
Fractional positions:
Al  0.000  0.000  0.000
Al  0.000  0.500  0.499
Al  0.000  0.500  0.834
Al  0.500  0.000  0.166
Al  0.500  0.000  0.501
Al  0.500  0.500  0.332
Al  0.500  0.500  0.668
Ag  0.000  0.000  0.335
Ag  0.000  0.000  0.665
Ag  0.000  0.500  0.167
Ag  0.500  0.000  0.833
Ag  0.500  0.500  0.000

Results
total magnetic moment = 0.02 μB per cell
symmetry = C222 (21)
volume = 194.8 Å³/cell

***

Arrangement z

The following is a SCAN calculation of Al7Ag5 at its PBEsol-relaxed geometry, from Alexandria via LeMat-Bulk.

Cell: 3.883 8.716 8.716 Å, 41.35 90.00 90.00°
Fractional positions:
Al  0.000  0.000  0.000
Al  0.000  0.168  0.168
Al  0.000  0.499  0.499
Al  0.500  0.335  0.842
Al  0.500  0.514  0.998
Al  0.500  0.842  0.335
Al  0.500  0.998  0.514
Ag  0.000  0.330  0.330
Ag  0.000  0.662  0.662
Ag  0.000  0.834  0.834
Ag  0.500  0.177  0.673
Ag  0.500  0.673  0.177

Results
total magnetic moment = 0.00 μB per cell
symmetry = Amm2 (38)
volume = 194.9 Å³/cell

***

Which of them is the most stable? Correct choice: arrangement z.

***

Arrangement w

The following is a SCAN calculation of Al7Ag5 at its PBEsol-relaxed geometry, from Alexandria via LeMat-Bulk.

Cell: 6.412 6.412 8.005 Å, 90.00 90.00 143.71°
Fractional positions:
Al  0.000  0.000  0.000
Al  0.168  0.832  0.266
Al  0.332  0.668  0.009
Al  0.336  0.664  0.516
Al  0.664  0.336  0.516
Al  0.668  0.332  0.009
Al  0.832  0.168  0.266
Ag  0.000  0.000  0.500
Ag  0.167  0.833  0.764
Ag  0.500  0.500  0.244
Ag  0.500  0.500  0.761
Ag  0.833  0.167  0.764

Results
total magnetic moment = 0.00 μB per cell
symmetry = Cmm2 (35)
volume = 194.8 Å³/cell

***

Arrangement x

The following is a SCAN calculation of Al7Ag5 at its PBEsol-relaxed geometry, from Alexandria via LeMat-Bulk.

Cell: 2.876 8.452 7.981 Å, 90.00 90.00 90.00°
Fractional positions:
Al  0.000  0.000  0.000
Al  0.000  0.000  0.493
Al  0.000  0.333  0.013
Al  0.000  0.667  0.013
Al  0.500  0.166  0.749
Al  0.500  0.500  0.273
Al  0.500  0.834  0.749
Ag  0.000  0.330  0.511
Ag  0.000  0.670  0.511
Ag  0.500  0.167  0.247
Ag  0.500  0.500  0.777
Ag  0.500  0.833  0.247

Results
total magnetic moment = 0.00 μB per cell
symmetry = Pmm2 (25)
volume = 194.0 Å³/cell

***

Arrangement y

The following is a SCAN calculation of Al7Ag5 at its PBEsol-relaxed geometry, from Alexandria via LeMat-Bulk.

Cell: 5.645 6.301 6.360 Å, 73.71 64.05 81.17°
Fractional positions:
Al  0.000  0.000  0.000
Al  0.076  0.334  0.173
Al  0.161  0.669  0.354
Al  0.334  0.340  0.671
Al  0.491  0.002  0.008
Al  0.584  0.347  0.161
Al  0.745  0.999  0.503
Ag  0.261  0.018  0.488
Ag  0.397  0.669  0.856
Ag  0.672  0.667  0.340
Ag  0.829  0.321  0.677
Ag  0.909  0.676  0.832

Results
total magnetic moment = 0.02 μB per cell
symmetry = P1 (1)
volume = 195.1 Å³/cell

***

Which of them is the most stable? Correct choice: arrangement x.

***

Arrangement w

The following is a SCAN calculation of Al5Ag4 at its PBEsol-relaxed geometry, from Alexandria via LeMat-Bulk.

Cell: 5.029 5.029 8.356 Å, 106.16 106.16 46.23°
Fractional positions:
Al  0.000  0.000  0.000
Al  0.013  0.013  0.344
Al  0.345  0.345  0.459
Al  0.671  0.671  0.234
Al  0.685  0.685  0.577
Ag  0.010  0.010  0.664
Ag  0.343  0.343  0.788
Ag  0.344  0.344  0.136
Ag  0.672  0.672  0.909

Results
total magnetic moment = 0.00 μB per cell
symmetry = Cm (8)
volume = 145.4 Å³/cell

***

Arrangement x

The following is a SCAN calculation of Al5Ag4 at its PBEsol-relaxed geometry, from Alexandria via LeMat-Bulk.

Cell: 4.964 4.964 11.349 Å, 109.51 109.51 33.86°
Fractional positions:
Al  0.000  0.000  0.000
Al  0.334  0.334  0.340
Al  0.448  0.448  0.778
Al  0.552  0.552  0.222
Al  0.666  0.666  0.660
Ag  0.109  0.109  0.439
Ag  0.224  0.224  0.883
Ag  0.776  0.776  0.117
Ag  0.891  0.891  0.561

Results
total magnetic moment = 0.01 μB per cell
symmetry = C2/m (12)
volume = 146.0 Å³/cell

***

Arrangement y

The following is a SCAN calculation of Al5Ag4 at its PBEsol-relaxed geometry, from Alexandria via LeMat-Bulk.

Cell: 6.364 6.364 6.364 Å, 95.70 95.70 143.26°
Fractional positions:
Al  0.000  0.000  0.000
Al  0.333  0.333  0.665
Al  0.333  0.667  0.000
Al  0.667  0.333  0.000
Al  0.667  0.667  0.335
Ag  0.000  0.324  0.324
Ag  0.000  0.676  0.676
Ag  0.324  0.000  0.324
Ag  0.676  0.000  0.676

Results
total magnetic moment = 0.00 μB per cell
symmetry = I4/mmm (139)
volume = 146.3 Å³/cell

***

Arrangement z

The following is a SCAN calculation of Al5Ag4 at its PBEsol-relaxed geometry, from Alexandria via LeMat-Bulk.

Cell: 4.882 4.951 7.465 Å, 71.22 72.01 60.53°
Fractional positions:
Al  0.000  0.000  0.000
Al  0.106  0.465  0.662
Al  0.329  0.336  0.000
Al  0.442  0.800  0.662
Al  0.875  0.557  0.331
Ag  0.211  0.886  0.333
Ag  0.542  0.221  0.330
Ag  0.669  0.673  0.994
Ag  0.771  0.138  0.667

Results
total magnetic moment = 0.00 μB per cell
symmetry = P1 (1)
volume = 146.2 Å³/cell

***

Which of them is the most stable? Correct choice: arrangement w.

***

Arrangement w

The following is a SCAN calculation of Al4Ag5 at its PBEsol-relaxed geometry, from Alexandria via LeMat-Bulk.

Cell: 4.990 4.999 6.910 Å, 75.32 83.55 60.30°
Fractional positions:
Al  0.007  0.216  0.327
Al  0.341  0.551  0.327
Al  0.659  0.449  0.673
Al  0.993  0.784  0.673
Ag  0.000  0.000  0.000
Ag  0.319  0.131  0.653
Ag  0.330  0.340  0.000
Ag  0.670  0.660  0.000
Ag  0.681  0.869  0.347

Results
total magnetic moment = 0.00 μB per cell
symmetry = P-1 (2)
volume = 144.8 Å³/cell

***

Arrangement x

The following is a SCAN calculation of Al4Ag5 at its PBEsol-relaxed geometry, from Alexandria via LeMat-Bulk.

Cell: 6.457 6.457 6.457 Å, 94.94 94.94 145.88°
Fractional positions:
Al  0.165  0.165  0.330
Al  0.165  0.835  0.000
Al  0.835  0.165  0.000
Al  0.835  0.835  0.670
Ag  0.174  0.500  0.674
Ag  0.500  0.174  0.674
Ag  0.500  0.500  0.000
Ag  0.500  0.826  0.326
Ag  0.826  0.500  0.326

Results
total magnetic moment = 0.00 μB per cell
symmetry = I4/mmm (139)
volume = 144.4 Å³/cell

***

Arrangement y

The following is a SCAN calculation of Al4Ag5 at its PBEsol-relaxed geometry, from Alexandria via LeMat-Bulk.

Cell: 7.762 7.762 5.589 Å, 90.00 90.00 120.00°
Fractional positions:
Al  0.000  0.000  0.000
Al  0.000  0.000  0.500
Al  0.000  0.349  0.250
Al  0.000  0.651  0.750
Al  0.349  0.000  0.250
Al  0.349  0.349  0.750
Al  0.651  0.000  0.750
Al  0.651  0.651  0.250
Ag  0.000  0.317  0.750
Ag  0.000  0.683  0.250
Ag  0.317  0.000  0.750
Ag  0.317  0.317  0.250
Ag  0.333  0.667  0.000
Ag  0.333  0.667  0.500
Ag  0.667  0.333  0.000
Ag  0.667  0.333  0.500
Ag  0.683  0.000  0.250
Ag  0.683  0.683  0.750

Results
total magnetic moment = 0.00 μB per cell
symmetry = P6_3/mcm (193)
volume = 291.6 Å³/cell

***

Arrangement z

The following is a SCAN calculation of Al4Ag5 at its PBEsol-relaxed geometry, from Alexandria via LeMat-Bulk.

Cell: 6.286 6.286 6.527 Å, 109.70 109.70 36.89°
Fractional positions:
Al  0.161  0.161  0.492
Al  0.281  0.281  0.169
Al  0.719  0.719  0.831
Al  0.839  0.839  0.508
Ag  0.061  0.061  0.836
Ag  0.377  0.377  0.821
Ag  0.500  0.500  0.500
Ag  0.623  0.623  0.179
Ag  0.939  0.939  0.164

Results
total magnetic moment = 0.00 μB per cell
symmetry = C2/m (12)
volume = 144.7 Å³/cell

***

Which of them is the most stable? Correct choice: arrangement w.

***

Arrangement w

The following is a SCAN calculation of AlAgAs at its PBEsol-relaxed geometry, from Alexandria via LeMat-Bulk.

Cell: 4.334 4.334 4.334 Å, 60.00 60.00 60.00°
Fractional positions:
Al  0.000  0.000  0.000
Ag  0.750  0.750  0.750
As  0.250  0.250  0.250

Results
total magnetic moment = 0.00 μB per cell
symmetry = F-43m (216)
volume = 57.6 Å³/cell

***

Arrangement x

The following is a SCAN calculation of AlAgAs at its PBEsol-relaxed geometry, from Alexandria via LeMat-Bulk.

Cell: 4.763 4.763 2.783 Å, 90.00 90.00 120.00°
Fractional positions:
Al  0.000  0.000  0.000
Ag  0.333  0.667  0.994
As  0.667  0.333  0.999

Results
total magnetic moment = 0.00 μB per cell
symmetry = P3m1 (156)
volume = 54.7 Å³/cell

***

Which of them is the most stable? Correct choice: arrangement w.

***

Arrangement w

The following is a SCAN calculation of AlAgAs2 at its PBEsol-relaxed geometry, from Alexandria via LeMat-Bulk.

Cell: 5.098 5.098 5.098 Å, 132.19 132.19 69.93°
Fractional positions:
Al  0.000  0.000  0.000
Ag  0.250  0.750  0.500
As  0.500  0.500  0.000
As  0.750  0.250  0.500

Results
total magnetic moment = 0.00 μB per cell
symmetry = I-4m2 (119)
volume = 71.3 Å³/cell

***

Arrangement x

The following is a SCAN calculation of AlAgAs2 at its PBEsol-relaxed geometry, from Alexandria via LeMat-Bulk.

Cell: 3.071 3.071 7.468 Å, 90.00 90.00 90.12°
Fractional positions:
Al  0.000  0.000  0.000
Ag  0.000  0.000  0.500
As  0.500  0.500  0.239
As  0.500  0.500  0.761

Results
total magnetic moment = 0.00 μB per cell
symmetry = Cmmm (65)
volume = 70.4 Å³/cell

***

Arrangement y

The following is a SCAN calculation of AlAgAs2 at its PBEsol-relaxed geometry, from Alexandria via LeMat-Bulk.

Cell: 6.130 6.130 6.130 Å, 146.60 143.68 50.17°
Fractional positions:
Al  0.000  0.000  0.000
Ag  0.671  0.171  0.500
As  0.250  0.750  0.500
As  0.438  0.438  0.000

Results
total magnetic moment = 0.00 μB per cell
symmetry = Imm2 (44)
volume = 74.8 Å³/cell

***

Which of them is the most stable? Correct choice: arrangement y.

***

Arrangement w

The following is a SCAN calculation of AlAgAs2 at its PBEsol-relaxed geometry, from Alexandria via LeMat-Bulk.

Cell: 2.966 4.095 6.967 Å, 90.00 90.00 90.00°
Fractional positions:
Al  0.000  0.000  0.000
Ag  0.000  0.500  0.428
As  0.000  0.500  0.803
As  0.500  0.000  0.300

Results
total magnetic moment = 0.00 μB per cell
symmetry = Pmm2 (25)
volume = 84.6 Å³/cell

***

Arrangement x

The following is a SCAN calculation of AlAgAs2 at its PBEsol-relaxed geometry, from Alexandria via LeMat-Bulk.

Cell: 3.739 3.739 5.270 Å, 90.00 90.00 90.00°
Fractional positions:
Al  0.000  0.000  0.000
Ag  0.500  0.500  0.500
As  0.000  0.000  0.500
As  0.500  0.500  0.000

Results
total magnetic moment = 0.00 μB per cell
symmetry = P4/mmm (123)
volume = 73.7 Å³/cell

***

Arrangement y

The following is a SCAN calculation of AlAgAs2 at its PBEsol-relaxed geometry, from Alexandria via LeMat-Bulk.

Cell: 3.834 3.844 4.911 Å, 90.00 90.00 90.00°
Fractional positions:
Al  0.000  0.000  0.000
Ag  0.000  0.500  0.500
As  0.500  0.000  0.500
As  0.500  0.500  0.000

Results
total magnetic moment = 0.00 μB per cell
symmetry = Pmmm (47)
volume = 72.4 Å³/cell

***

Arrangement z

The following is a SCAN calculation of AlAgAs2 at its PBEsol-relaxed geometry, from Alexandria via LeMat-Bulk.

Cell: 6.591 6.591 6.591 Å, 32.71 32.71 32.71°
Fractional positions:
Al  0.000  0.000  0.000
Ag  0.500  0.500  0.500
As  0.254  0.254  0.254
As  0.746  0.746  0.746

Results
total magnetic moment = 0.00 μB per cell
symmetry = R-3m (166)
volume = 74.4 Å³/cell

***

Which of them is the most stable? Correct choice: arrangement w.